No. 1
Density functional theory data (PBE) for an optimized crystal structure of Pr4ThS6.

```
Pr4ThS6
1.0
2.002 -6.749 0.000
2.002 6.749 0.000
0.000 0.000 20.337
Pr Th S
8 2 12
Direct
0.086 0.914 0.628
0.086 0.914 0.872
0.361 0.639 0.540
0.361 0.639 0.960
0.639 0.361 0.040
0.639 0.361 0.460
0.914 0.086 0.128
0.914 0.086 0.372
0.156 0.844 0.250
0.844 0.156 0.750
0.000 0.000 0.000
0.000 0.000 0.500
0.198 0.802 0.750
0.269 0.731 0.094
0.269 0.731 0.406
0.444 0.556 0.671
0.444 0.556 0.829
0.556 0.444 0.171
0.556 0.444 0.329
0.731 0.269 0.594
0.731 0.269 0.906
0.802 0.198 0.250
```

E   -6.644 eV per atom
Crystal system   orthorhombic
Formation energy from raw total energies   -1.980 eV/atom



No. 2
Density functional theory data (PBE) for an optimized crystal structure of LiLuAg.

```
LiLuAg
1.0
-1.791 1.791 4.785
1.791 -1.791 4.785
1.791 1.791 -4.785
Li Lu Ag
1 1 1
Direct
0.000 0.000 0.000
0.692 0.692 0.000
0.365 0.365 0.000
```

E   -3.264 eV per atom
Energy above the lowest structure with this stoichiometry   0 meV/atom
Formation enthalpy at 0 K   -169 meV/atom
Crystal system   tetragonal



No. 3
Density functional theory data (PBE) for an optimized crystal structure of NaCaVSn2.

```
NaCaVSn2
1.0
5.303 0.000 0.000
0.000 5.303 0.000
0.000 0.000 5.105
Na Ca V Sn
1 1 1 2
Direct
0.000 0.000 0.000
0.000 0.000 0.500
0.500 0.500 0.500
0.000 0.500 0.000
0.500 0.000 0.000
```

E   -3.004 eV per atom
Formation enthalpy at 0 K   1085 meV/atom
Crystal system   tetragonal